No. 1
# Na2ThRh3O8 | Alexandria | PBE | optimized geometry
# uncorrected formation energy	-1473	meV per atom
# crystal system	trigonal
# N(E_F)	2.250	states/eV/f.u.
# total moment	2.92	μB/cell
# density	6.35	g cm⁻³
data_Na2ThRh3O8
_cell_length_a 6.4516
_cell_length_b 6.4516
_cell_length_c 15.5593
_cell_angle_alpha 90.00
_cell_angle_beta 90.00
_cell_angle_gamma 120.00
_symmetry_space_group_name_H-M 'R 3 m'
_symmetry_Int_Tables_number 160
_symmetry_space_group_name_Hall 'R 3 -2"'
loop_
_atom_site_label
_atom_site_type_symbol
_atom_site_fract_x
_atom_site_fract_y
_atom_site_fract_z
_atom_site_occupancy
Na1 Na 0.0000 0.0000 0.0000 1
Na2 Na 0.0000 0.0000 0.3713 1
Th1 Th 0.0000 0.0000 0.7657 1
Rh1 Rh 0.0072 0.5036 0.8767 1
O1 O 0.0000 0.0000 0.1453 1
O2 O 0.0000 0.0000 0.6112 1
O3 O 0.0349 0.5174 0.1395 1
O4 O 0.1802 0.3605 0.9374 1



No. 2
# CrFeS4 | Alexandria | PBE | optimized geometry
# uncorrected formation energy	-218	meV per atom
# crystal system	orthorhombic
# N(E_F)	4.548	states/eV/f.u.
# total moment	11.38	μB/cell
# density	3.58	g cm⁻³
data_CrFeS4
_cell_length_a 6.729
_cell_length_b 6.879
_cell_length_c 9.458
_cell_angle_alpha 90.00
_cell_angle_beta 90.00
_cell_angle_gamma 90.00
_symmetry_space_group_name_H-M 'I m m a'
_symmetry_Int_Tables_number 74
_symmetry_space_group_name_Hall '-I 2b 2'
loop_
_atom_site_label
_atom_site_type_symbol
_atom_site_fract_x
_atom_site_fract_y
_atom_site_fract_z
_atom_site_occupancy
Cr1 Cr 0.000 0.000 0.000 1
Fe1 Fe 0.000 0.250 0.378 1
S1 S 0.000 0.016 0.245 1
S2 S 0.240 0.250 0.991 1